# 1
The following is a PBE+U calculation of a geometry-optimized Mo2PbSeF structure, from Alexandria.

```
Mo2PbSeF
1.0
-3.839 -1.382 -2.757
0.868 -4.871 1.233
-2.968 0.459 3.902
F Mo Pb Se
1 2 1 1
Cartesian
0.000 0.000 0.000
-1.919 -0.691 -1.378
-1.484 0.230 1.951
0.434 -2.436 0.617
-2.969 -2.897 1.189
```

Calculated values
Symmetry: P4/mmm
Magnetization: 9.8 Bohr magnetons per cell
E_tot: -4.288 eV per atom
N(E_F): 2.34 states/eV/f.u.

---

# 2
The following is a PBE+U calculation of a geometry-optimized SiMoPbF2 structure, from Alexandria.

```
SiMoPbF2
1.0
4.161 0.000 0.000
0.000 5.606 0.000
0.000 0.000 4.161
Mo F Pb Si
1 2 1 1
Cartesian
2.081 2.803 2.081
2.081 0.000 0.000
0.000 0.000 2.081
0.000 2.803 0.000
0.000 0.000 0.000
```

Calculated values
Symmetry: P4/mmm
Magnetization: 4.2 Bohr magnetons per cell
E_tot: -4.505 eV per atom
N(E_F): 1.88 states/eV/f.u.

---

# 3
The following is a PBE+U calculation of a geometry-optimized SrMoPb2F structure, from Alexandria.

```
SrMoPb2F
1.0
5.355 0.000 0.000
0.000 6.496 0.000
0.000 0.000 5.355
F Pb Mo Sr
1 2 1 1
Cartesian
2.677 3.248 2.677
0.000 0.000 2.677
2.677 0.000 0.000
0.000 0.000 0.000
0.000 3.248 0.000
```

Calculated values
Symmetry: P4/mmm
Magnetization: 2.3 Bohr magnetons per cell
E_tot: -3.607 eV per atom
N(E_F): 1.87 states/eV/f.u.

---

# 4
The following is a PBE+U calculation of a geometry-optimized SrMoPbF6 structure, from Alexandria.

```
SrMoPbF6
1.0
-0.681 2.796 5.906
1.340 -6.415 -0.463
8.097 1.681 0.138
Sr F Mo Pb
2 12 2 2
Cartesian
6.066 0.987 3.887
2.691 -2.925 1.695
6.060 -4.081 1.727
0.766 1.016 2.357
7.990 -2.954 3.224
3.229 -0.547 5.400
5.483 -1.433 3.329
7.418 -0.102 2.018
5.527 -1.390 0.181
3.273 -0.504 2.252
2.696 2.144 3.855
0.799 0.604 5.479
7.957 -2.542 0.103
1.338 -1.836 3.564
2.017 0.146 3.818
6.739 -2.084 1.764
4.049 0.841 0.069
0.000 0.000 0.000
```

Calculated values
Symmetry: P-31c
Magnetization: 6.0 Bohr magnetons per cell
E_tot: -5.299 eV per atom
N(E_F): 1.65 states/eV/f.u.

---

# 5
The following is a PBE+U calculation of a geometry-optimized TlMoPb2F8 structure, from Alexandria.

```
TlMoPb2F8
1.0
4.544 -0.283 -0.108
-0.317 5.792 -0.058
-0.181 -0.071 8.147
Tl Pb F Mo
1 2 8 1
Cartesian
-0.091 -0.035 4.073
1.960 2.758 1.934
2.086 2.680 6.047
2.244 1.408 3.950
0.098 4.426 1.522
3.948 1.012 6.459
4.266 1.155 1.458
1.802 4.030 4.031
2.440 4.381 -0.085
-0.221 4.283 6.523
1.606 1.057 8.066
0.000 0.000 0.000
```

Calculated values
Symmetry: P-1
Magnetization: 3.0 Bohr magnetons per cell
E_tot: -4.984 eV per atom
N(E_F): 0.00 states/eV/f.u.

---

# 6
The following is a PBE+U calculation of a geometry-optimized Tl2Mo3PbF12 structure, from Alexandria.

```
Tl2Mo3PbF12
1.0
7.537 -0.241 -0.171
3.513 6.673 -0.171
3.513 2.045 6.355
F Tl Pb Mo
12 2 1 3
Cartesian
11.055 4.313 5.308
8.891 2.419 1.716
11.055 6.435 2.316
8.069 1.940 4.297
5.353 0.994 0.705
3.508 2.042 3.697
5.672 6.058 4.297
6.494 3.780 5.602
3.508 4.164 0.705
6.494 6.536 1.716
9.210 7.483 5.308
8.069 4.697 0.411
5.447 3.170 2.249
9.116 5.306 3.764
0.000 0.000 0.000
1.756 3.337 -0.086
3.769 -0.121 -0.086
1.756 1.022 3.177
```

Calculated values
Symmetry: R-3m
Magnetization: 8.0 Bohr magnetons per cell
E_tot: -5.168 eV per atom
N(E_F): 0.35 states/eV/f.u.

---

Question: Which of these has the lowest N(E_F)?
Answer: TlMoPb2F8

---

Repeat the sixth record exactly.
The following is a PBE+U calculation of a geometry-optimized Tl2Mo3PbF12 structure, from Alexandria.

```
Tl2Mo3PbF12
1.0
7.537 -0.241 -0.171
3.513 6.673 -0.171
3.513 2.045 6.355
F Tl Pb Mo
12 2 1 3
Cartesian
11.055 4.313 5.308
8.891 2.419 1.716
11.055 6.435 2.316
8.069 1.940 4.297
5.353 0.994 0.705
3.508 2.042 3.697
5.672 6.058 4.297
6.494 3.780 5.602
3.508 4.164 0.705
6.494 6.536 1.716
9.210 7.483 5.308
8.069 4.697 0.411
5.447 3.170 2.249
9.116 5.306 3.764
0.000 0.000 0.000
1.756 3.337 -0.086
3.769 -0.121 -0.086
1.756 1.022 3.177
```

Calculated values
Symmetry: R-3m
Magnetization: 8.0 Bohr magnetons per cell
E_tot: -5.168 eV per atom
N(E_F): 0.35 states/eV/f.u.

---

Question: Among the records above, which one has the highest magnetization?
Answer: Mo2PbSeF